This record from the Alexandria database describes a crystal of MnNb3Si relaxed with PBEsol. The functional is SCAN.

abc: 4.5046 4.5046 4.5046
angles: 90.00 90.00 90.00
Element x y z (fractional)
Nb (0.0000, 0.5000, 0.0000)
Nb (0.0000, 0.0000, 0.5000)
Nb (0.5000, 0.0000, 0.0000)
Mn (0.0000, 0.0000, 0.0000)
Si (0.5000, 0.5000, 0.5000)

* symmetry: Pm-3m (221)
* formation energy without anion corrections: 333 kJ/mol of formula units

=====

This record from the Alexandria database describes a crystal of MnNbSi relaxed with PBEsol. The functional is SCAN.

abc: 3.4510 6.3681 6.3681
angles: 120.00 90.00 90.00
Each line ends with the local moment (μB).
Element x y z (fractional)
Mn (0.0000, 0.7553, 0.7553)  2.72
Mn (0.0000, 0.2447, 0.0000)  2.72
Mn (0.0000, 0.0000, 0.2447)  2.72
Nb (0.5000, 0.0000, 0.5893)  -0.26
Nb (0.5000, 0.5893, 0.0000)  -0.26
Nb (0.5000, 0.4107, 0.4107)  -0.26
Si (0.5000, 0.0000, 0.0000)  -0.12
Si (0.0000, 0.3333, 0.6667)  -0.04
Si (0.0000, 0.6667, 0.3333)  -0.04

* symmetry: P-62m (189)
* formation energy without anion corrections: -169 kJ/mol of formula units

=====

This record from the Alexandria database describes a crystal of SrMn2Nb relaxed with PBEsol. The functional is SCAN.

abc: 4.7574 4.7574 4.7574
angles: 60.00 60.00 60.00
Each line ends with the local moment (μB).
Element x y z (fractional)
Sr (0.0000, 0.0000, 0.0000)  -0.04
Nb (0.5000, 0.5000, 0.5000)  -1.81
Mn (0.2500, 0.2500, 0.2500)  3.80
Mn (0.7500, 0.7500, 0.7500)  3.80

* formation enthalpy at 0 K: 0.48 eV per atom
* symmetry: Fm-3m (225)

=====

This record from the Alexandria database describes a crystal of TaMnNb3 relaxed with PBEsol. The functional is SCAN.

abc: 4.5277 4.5277 4.5277
angles: 90.00 90.00 90.00
Element x y z (fractional)
Nb (0.0000, 0.5000, 0.0000)
Nb (0.0000, 0.0000, 0.5000)
Nb (0.5000, 0.0000, 0.0000)
Mn (0.0000, 0.0000, 0.0000)
Ta (0.5000, 0.5000, 0.5000)

* formation enthalpy at 0 K: 0.82 eV per atom
* symmetry: Pm-3m (221)

=====

This record from the Alexandria database describes a crystal of Mn2NbTe2 relaxed with PBEsol. The functional is SCAN.

abc: 3.5190 3.5190 7.8178
angles: 103.01 103.01 90.00
Each line ends with the local moment (μB).
Element x y z (fractional)
Nb (0.0000, 0.0000, 0.0000)  0.78
Te (0.3892, 0.3892, 0.7784)  -0.10
Te (0.6108, 0.6108, 0.2216)  -0.10
Mn (0.2500, 0.7500, 0.5000)  3.17
Mn (0.7500, 0.2500, 0.5000)  3.17

* symmetry: I4/mmm (139)
* formation energy without anion corrections: 44 kJ/mol of formula units

=====

This record from the Alexandria database describes a crystal of Mn3NbTl relaxed with PBEsol. The functional is SCAN.

abc: 4.6301 4.6301 4.6301
angles: 90.00 90.00 90.00
Each line ends with the local moment (μB).
Element x y z (fractional)
Tl (0.5000, 0.5000, 0.5000)  -0.03
Mn (0.0000, 0.5000, 0.0000)  3.48
Mn (0.0000, 0.0000, 0.5000)  3.48
Mn (0.5000, 0.0000, 0.0000)  3.48
Nb (0.0000, 0.0000, 0.0000)  -1.49

* formation enthalpy at 0 K: 1.04 eV per atom
* symmetry: Pm-3m (221)